1.
Below is CsKSrF4 after structural relaxation, with properties calculated at the GGA-PBE level.

Its calculated density is 3.4 g/cm3. The crystal system is tetragonal. As for the space group: I4mm. The calculation puts the volume at 23.34 Å³/atom. The total energy is -4.761 eV per atom. The calculation puts the formation energy (no corrections) at -3.172 eV/atom.

Cell lengths 7.949, 7.949, 7.949 Å; angles 145.13, 145.13, 50.14 degrees
Positions (direct):
Cs 0.000 0.000 0.000
K 0.704 0.704 0.000
Sr 0.352 0.352 0.000
F 0.188 0.188 0.000
F 0.342 0.842 0.500
F 0.521 0.521 0.000
F 0.842 0.342 0.500

***

2.
Below is ScCr3Mo after structural relaxation, with properties calculated at the GGA-PBE level.

Its calculated density is 5.0 g/cm3. The crystal system is cubic. As for the space group: Pm-3m. The calculation puts the volume at 19.61 Å³/atom. The total energy is -8.138 eV per atom. Its formation energy is 1.068 eV per atom. The energy above the most stable polymorph in this dataset comes out at 0.000 eV/atom.

Cell lengths 4.611, 4.611, 4.611 Å; angles 90.00, 90.00, 90.00 degrees
Positions (direct):
Sc 0.000 0.000 0.000
Cr 0.000 0.500 0.500
Cr 0.500 0.000 0.500
Cr 0.500 0.500 0.000
Mo 0.500 0.500 0.500

***

3.
Below is Fe2TcRh after structural relaxation, with properties calculated at the GGA-PBE level.

Its calculated density is 10.0 g/cm3. The crystal system is tetragonal. As for the space group: P4mm. The calculation puts the volume at 13.02 Å³/atom. The total energy is -8.644 eV per atom. Its formation energy is 0.017 eV per atom. The energy above the most stable polymorph in this dataset comes out at 0.000 eV/atom.

Cell lengths 2.802, 2.802, 6.634 Å; angles 90.00, 90.00, 90.00 degrees
Positions (direct):
Fe 0.000 0.000 0.000
Fe 0.500 0.500 0.216
Tc 0.500 0.500 0.759
Rh 0.000 0.000 0.468

***

4.
Below is Cs3NaSn after structural relaxation, with properties calculated at the GGA-PBE level.

Its calculated density is 2.8 g/cm3. The crystal system is monoclinic. As for the space group: P2/c. The calculation puts the volume at 64.32 Å³/atom. The total energy is -1.613 eV per atom. Its formation energy is -0.036 eV per atom. The energy above the most stable polymorph in this dataset comes out at 0.000 eV/atom.

Cell lengths 9.938, 8.144, 15.908 Å; angles 90.00, 92.44, 90.00 degrees
Positions (direct):
Cs 0.003 0.242 0.119
Cs 0.003 0.758 0.619
Cs 0.251 0.310 0.818
Cs 0.251 0.690 0.318
Cs 0.338 0.108 0.562
Cs 0.338 0.892 0.062
Cs 0.662 0.108 0.938
Cs 0.662 0.892 0.438
Cs 0.749 0.310 0.682
Cs 0.749 0.690 0.182
Cs 0.997 0.242 0.381
Cs 0.997 0.758 0.881
Na 0.431 0.380 0.106
Na 0.431 0.620 0.606
Na 0.569 0.380 0.394
Na 0.569 0.620 0.894
Sn 0.361 0.166 0.279
Sn 0.361 0.834 0.779
Sn 0.639 0.166 0.221
Sn 0.639 0.834 0.721

***

- What is the formula in the first record?
  CsKSrF4

***

- Look up the calculated density of the first one.
  3.4 g/cm3

***

- Which value of calculated density does entry 2 give?
  5.0 g/cm3